Record 1
First-principles (PBE-GGA) data for a relaxed structure of CsSnHg2Pd, as listed in the Alexandria database.

```
data_CsSnHg2Pd
_cell_length_a 5.521
_cell_length_b 5.521
_cell_length_c 5.221
_cell_angle_alpha 90.00
_cell_angle_beta 90.00
_cell_angle_gamma 90.00
_symmetry_space_group_name_H-M 'P 4/m m m'
_symmetry_Int_Tables_number 123
_symmetry_space_group_name_Hall '-P 4 2'
loop_
_atom_site_label
_atom_site_type_symbol
_atom_site_fract_x
_atom_site_fract_y
_atom_site_fract_z
_atom_site_occupancy
Cs1 Cs 0.000 0.000 0.000 1
Sn1 Sn 0.500 0.500 0.000 1
Hg1 Hg 0.000 0.500 0.500 1
Pd1 Pd 0.500 0.500 0.500 1
```

* total magnetic moment: 0.00 μB/atom
* N(E_F): 0.502 states/eV/atom
* energy of formation: -0.19 eV per atom

---

Record 2
First-principles (PBE-GGA) data for a relaxed structure of Cs2SnHgPd, as listed in the Alexandria database.

```
data_Cs2SnHgPd
_cell_length_a 6.855
_cell_length_b 6.855
_cell_length_c 5.128
_cell_angle_alpha 90.00
_cell_angle_beta 90.00
_cell_angle_gamma 90.00
_symmetry_space_group_name_H-M 'P 4/m m m'
_symmetry_Int_Tables_number 123
_symmetry_space_group_name_Hall '-P 4 2'
loop_
_atom_site_label
_atom_site_type_symbol
_atom_site_fract_x
_atom_site_fract_y
_atom_site_fract_z
_atom_site_occupancy
Cs1 Cs 0.000 0.500 0.000 1
Sn1 Sn 0.000 0.000 0.500 1
Hg1 Hg 0.500 0.500 0.500 1
Pd1 Pd 0.000 0.000 0.000 1
```

* total magnetic moment: 0.00 μB/atom
* N(E_F): 0.847 states/eV/atom
* energy of formation: -0.12 eV per atom
* polymorph energy (0 for the lowest one): 0.00 eV/f.u.

---

Record 3
First-principles (PBE-GGA) data for a relaxed structure of CsHgTe2Pd, as listed in the Alexandria database.

```
data_CsHgTe2Pd
_cell_length_a 5.504
_cell_length_b 5.504
_cell_length_c 5.478
_cell_angle_alpha 90.00
_cell_angle_beta 90.00
_cell_angle_gamma 90.00
_symmetry_space_group_name_H-M 'P 4/m m m'
_symmetry_Int_Tables_number 123
_symmetry_space_group_name_Hall '-P 4 2'
loop_
_atom_site_label
_atom_site_type_symbol
_atom_site_fract_x
_atom_site_fract_y
_atom_site_fract_z
_atom_site_occupancy
Cs1 Cs 0.000 0.000 0.000 1
Hg1 Hg 0.500 0.500 0.000 1
Te1 Te 0.000 0.500 0.500 1
Pd1 Pd 0.500 0.500 0.500 1
```

* total magnetic moment: 0.00 μB/atom
* N(E_F): 0.854 states/eV/atom
* polymorph energy (0 for the lowest one): 0.35 eV/f.u.

---

Record 4
First-principles (PBE-GGA) data for a relaxed structure of CsHgTe2Pd, as listed in the Alexandria database.

```
data_CsHgTe2Pd
_cell_length_a 6.775
_cell_length_b 13.643
_cell_length_c 7.961
_cell_angle_alpha 90.00
_cell_angle_beta 90.00
_cell_angle_gamma 90.00
_symmetry_space_group_name_H-M 'C m m e'
_symmetry_Int_Tables_number 67
_symmetry_space_group_name_Hall '-C 2a 2'
loop_
_atom_site_label
_atom_site_type_symbol
_atom_site_fract_x
_atom_site_fract_y
_atom_site_fract_z
_atom_site_occupancy
Cs1 Cs 0.000 0.250 0.229 1
Hg1 Hg 0.000 0.000 0.500 1
Te1 Te 0.000 0.100 0.798 1
Pd1 Pd 0.250 0.000 0.000 1
```

* total magnetic moment: 0.00 μB/atom
* N(E_F): 0.690 states/eV/atom
* polymorph energy (0 for the lowest one): 0.00 eV/f.u.

---

Record 5
First-principles (PBE-GGA) data for a relaxed structure of CsTlHg2Pd, as listed in the Alexandria database.

```
data_CsTlHg2Pd
_cell_length_a 5.525
_cell_length_b 5.525
_cell_length_c 5.379
_cell_angle_alpha 90.00
_cell_angle_beta 90.00
_cell_angle_gamma 90.00
_symmetry_space_group_name_H-M 'P 4/m m m'
_symmetry_Int_Tables_number 123
_symmetry_space_group_name_Hall '-P 4 2'
loop_
_atom_site_label
_atom_site_type_symbol
_atom_site_fract_x
_atom_site_fract_y
_atom_site_fract_z
_atom_site_occupancy
Cs1 Cs 0.000 0.000 0.000 1
Tl1 Tl 0.500 0.500 0.000 1
Hg1 Hg 0.000 0.500 0.500 1
Pd1 Pd 0.500 0.500 0.500 1
```

* total magnetic moment: 0.00 μB/atom
* N(E_F): 0.444 states/eV/atom
* energy of formation: -0.21 eV per atom

---

Record 6
First-principles (PBE-GGA) data for a relaxed structure of Cs2TlHg2Pd, as listed in the Alexandria database.

```
data_Cs2TlHg2Pd
_cell_length_a 8.685
_cell_length_b 15.264
_cell_length_c 7.081
_cell_angle_alpha 90.00
_cell_angle_beta 90.00
_cell_angle_gamma 90.00
_symmetry_space_group_name_H-M 'I b a m'
_symmetry_Int_Tables_number 72
_symmetry_space_group_name_Hall '-I 2 2c'
loop_
_atom_site_label
_atom_site_type_symbol
_atom_site_fract_x
_atom_site_fract_y
_atom_site_fract_z
_atom_site_occupancy
Cs1 Cs 0.195 0.173 0.000 1
Tl1 Tl 0.000 0.500 0.250 1
Hg1 Hg 0.221 0.069 0.500 1
Pd1 Pd 0.000 0.000 0.250 1
```

* total magnetic moment: 0.00 μB/atom
* N(E_F): 0.500 states/eV/atom
* energy of formation: -0.14 eV per atom

---

Record 7
First-principles (PBE-GGA) data for a relaxed structure of Cs2Tl2HgPd, as listed in the Alexandria database.

```
data_Cs2Tl2HgPd
_cell_length_a 7.776
_cell_length_b 16.532
_cell_length_c 7.454
_cell_angle_alpha 90.00
_cell_angle_beta 90.00
_cell_angle_gamma 90.00
_symmetry_space_group_name_H-M 'I b a m'
_symmetry_Int_Tables_number 72
_symmetry_space_group_name_Hall '-I 2 2c'
loop_
_atom_site_label
_atom_site_type_symbol
_atom_site_fract_x
_atom_site_fract_y
_atom_site_fract_z
_atom_site_occupancy
Cs1 Cs 0.244 0.164 0.000 1
Tl1 Tl 0.213 0.423 0.000 1
Hg1 Hg 0.000 0.000 0.250 1
Pd1 Pd 0.000 0.500 0.250 1
```

* total magnetic moment: 0.00 μB/atom
* N(E_F): 0.230 states/eV/atom
* energy of formation: -0.16 eV per atom

---

Record 8
First-principles (PBE-GGA) data for a relaxed structure of CsTl2HgPd, as listed in the Alexandria database.

```
data_CsTl2HgPd
_cell_length_a 5.380
_cell_length_b 5.380
_cell_length_c 6.707
_cell_angle_alpha 90.00
_cell_angle_beta 90.00
_cell_angle_gamma 90.00
_symmetry_space_group_name_H-M 'P 4/m m m'
_symmetry_Int_Tables_number 123
_symmetry_space_group_name_Hall '-P 4 2'
loop_
_atom_site_label
_atom_site_type_symbol
_atom_site_fract_x
_atom_site_fract_y
_atom_site_fract_z
_atom_site_occupancy
Cs1 Cs 0.000 0.000 0.000 1
Tl1 Tl 0.000 0.500 0.500 1
Hg1 Hg 0.500 0.500 0.000 1
Pd1 Pd 0.000 0.000 0.500 1
```

* total magnetic moment: 0.00 μB/atom
* N(E_F): 0.701 states/eV/atom
* energy of formation: -0.06 eV per atom
* polymorph energy (0 for the lowest one): 0.42 eV/f.u.

---

Record 9
First-principles (PBE-GGA) data for a relaxed structure of CsTl2HgPd, as listed in the Alexandria database.

```
data_CsTl2HgPd
_cell_length_a 5.471
_cell_length_b 5.471
_cell_length_c 5.567
_cell_angle_alpha 90.00
_cell_angle_beta 90.00
_cell_angle_gamma 90.00
_symmetry_space_group_name_H-M 'P 4/m m m'
_symmetry_Int_Tables_number 123
_symmetry_space_group_name_Hall '-P 4 2'
loop_
_atom_site_label
_atom_site_type_symbol
_atom_site_fract_x
_atom_site_fract_y
_atom_site_fract_z
_atom_site_occupancy
Cs1 Cs 0.000 0.000 0.000 1
Tl1 Tl 0.000 0.500 0.500 1
Hg1 Hg 0.500 0.500 0.000 1
Pd1 Pd 0.500 0.500 0.500 1
```

* total magnetic moment: 0.00 μB/atom
* N(E_F): 0.564 states/eV/atom
* energy of formation: -0.14 eV per atom
* polymorph energy (0 for the lowest one): 0.00 eV/f.u.

---

Record 10
First-principles (PBE-GGA) data for a relaxed structure of Cs2TlHg7Pd2, as listed in the Alexandria database.

```
data_Cs2TlHg7Pd2
_cell_length_a 7.632
_cell_length_b 7.570
_cell_length_c 13.686
_cell_angle_alpha 90.00
_cell_angle_beta 95.11
_cell_angle_gamma 90.00
_symmetry_space_group_name_H-M 'C 1 2/m 1'
_symmetry_Int_Tables_number 12
loop_
_symmetry_equiv_pos_as_xyz
'x,y,z'
'-x,-y,-z'
'-x,y,-z'
'x,-y,z'
'x+1/2,y+1/2,z'
'-x+1/2,-y+1/2,-z'
'-x+1/2,y+1/2,-z'
'x+1/2,-y+1/2,z'
loop_
_atom_site_label
_atom_site_type_symbol
_atom_site_fract_x
_atom_site_fract_y
_atom_site_fract_z
_atom_site_occupancy
Cs1 Cs 0.084 0.000 0.353 1
Tl1 Tl 0.000 0.000 0.000 1
Hg1 Hg 0.000 0.500 0.000 1
Hg2 Hg 0.084 0.500 0.400 1
Hg3 Hg 0.192 0.255 0.838 1
Pd1 Pd 0.070 0.500 0.199 1
```

* total magnetic moment: 0.00 μB/atom
* N(E_F): 0.417 states/eV/atom
* energy of formation: -0.16 eV per atom

---

Record 11
First-principles (PBE-GGA) data for a relaxed structure of Cs2TlHg6Pd, as listed in the Alexandria database.

```
data_Cs2TlHg6Pd
_cell_length_a 7.5991
_cell_length_b 7.5991
_cell_length_c 6.7453
_cell_angle_alpha 90.00
_cell_angle_beta 90.00
_cell_angle_gamma 120.00
_symmetry_space_group_name_H-M 'P -3 m 1'
_symmetry_Int_Tables_number 164
_symmetry_space_group_name_Hall '-P 3 2"'
loop_
_atom_site_label
_atom_site_type_symbol
_atom_site_fract_x
_atom_site_fract_y
_atom_site_fract_z
_atom_site_occupancy
Cs1 Cs 0.3333 0.6667 0.3275 1
Tl1 Tl 0.0000 0.0000 0.5000 1
Hg1 Hg 0.1934 0.3868 0.8255 1
Pd1 Pd 0.0000 0.0000 0.0000 1
```

* total magnetic moment: 0.00 μB/atom
* N(E_F): 0.401 states/eV/atom
* energy of formation: -0.19 eV per atom

---

Record 12
First-principles (PBE-GGA) data for a relaxed structure of CsZn2HgPd, as listed in the Alexandria database.

```
data_CsZn2HgPd
_cell_length_a 5.067
_cell_length_b 5.067
_cell_length_c 5.491
_cell_angle_alpha 90.00
_cell_angle_beta 90.00
_cell_angle_gamma 90.00
_symmetry_space_group_name_H-M 'P 4/m m m'
_symmetry_Int_Tables_number 123
_symmetry_space_group_name_Hall '-P 4 2'
loop_
_atom_site_label
_atom_site_type_symbol
_atom_site_fract_x
_atom_site_fract_y
_atom_site_fract_z
_atom_site_occupancy
Cs1 Cs 0.000 0.000 0.000 1
Zn1 Zn 0.000 0.500 0.500 1
Hg1 Hg 0.500 0.500 0.000 1
Pd1 Pd 0.500 0.500 0.500 1
```

* total magnetic moment: 0.00 μB/atom
* N(E_F): 0.347 states/eV/atom
* energy of formation: -0.17 eV per atom